DFT (PBE-GGA) results for a geometry-optimized KHg2Au structure.

a b c (Å): 3.910 5.591 10.659
angles (deg): 90.00 90.00 90.00
Space group Immm (No. 71)
Asymmetric unit:
K (0.000, 0.000, 0.000) x2
Hg (0.000, 0.500, 0.214) x4
Au (0.000, 0.000, 0.500) x2

excess energy over the best structure of this formula in the dataset: 6.8 kJ/mol of atoms
formation energy from the elements: -0.19 eV/atom